Record 1
VASP calculation (GGA-PBE) on a geometry-optimized Cs2Rb3CuSb2 structure.

Lattice parameters (Å, degrees): 10.5658 10.5658 10.5658 35.16 35.16 35.16
Fractional coordinates of all 8 atoms:
1 Rb 0.6391 0.6391 0.6391
2 Rb 0.5000 0.5000 0.5000
3 Rb 0.3609 0.3609 0.3609
4 Sb 0.9154 0.9154 0.9154
5 Sb 0.0846 0.0846 0.0846
6 Cs 0.2162 0.2162 0.2162
7 Cs 0.7838 0.7838 0.7838
8 Cu 0.0000 0.0000 0.0000

Calculated total energy = -19.1 eV per cell



Record 2
VASP calculation (GGA-PBE) on a geometry-optimized CsRb3Cu2Sb2 structure.

Lattice parameters (Å, degrees): 6.8365 6.6853 7.0091 90.00 108.79 90.00
Fractional coordinates of all 8 atoms:
1 Cu 0.9969 0.7500 0.0011
2 Cu 0.9969 0.2500 0.0011
3 Sb 0.7717 0.0000 0.7575
4 Sb 0.2297 0.5000 0.2382
5 Rb 0.4905 0.5000 0.8272
6 Rb 0.1773 0.0000 0.5057
7 Rb 0.8244 0.5000 0.4963
8 Cs 0.5126 0.0000 0.1729

Calculated total energy = -21.8 eV per cell



Record 3
VASP calculation (GGA-PBE) on a geometry-optimized Cs2Rb3CuSb2 structure.

Lattice parameters (Å, degrees): 10.4121 10.4121 10.4121 35.58 35.58 35.58
Fractional coordinates of all 8 atoms:
1 Rb 0.5000 0.5000 0.5000
2 Rb 0.7842 0.7842 0.7842
3 Rb 0.2158 0.2158 0.2158
4 Cs 0.6393 0.6393 0.6393
5 Cs 0.3607 0.3607 0.3607
6 Sb 0.0868 0.0868 0.0868
7 Sb 0.9132 0.9132 0.9132
8 Cu 0.0000 0.0000 0.0000

Calculated total energy = -19.3 eV per cell



Record 4
VASP calculation (GGA-PBE) on a geometry-optimized CsRbCu2Se2 structure.

Lattice parameters (Å, degrees): 6.5443 5.5827 5.5827 79.67 90.00 90.00
Fractional coordinates of all 6 atoms:
1 Cu 0.7508 0.0019 0.0019
2 Cu 0.2492 0.0019 0.0019
3 Rb 0.5000 0.3613 0.3613
4 Cs 0.0000 0.6290 0.6290
5 Se 0.5000 0.8171 0.8171
6 Se 0.0000 0.1888 0.1888

Calculated total energy = -20.2 eV per cell



Record 5
VASP calculation (GGA-PBE) on a geometry-optimized CsRbZrCu2Te4 structure.

Lattice parameters (Å, degrees): 6.2884 6.2913 8.2196 90.00 112.21 90.00
Fractional coordinates of all 9 atoms:
1 Cs 0.0000 0.2510 0.0000
2 Zr 0.5000 0.9992 0.5000
3 Cu 0.0000 0.0007 0.5000
4 Cu 0.5000 0.5000 0.5000
5 Te 0.3404 0.2580 0.6987
6 Te 0.1432 0.7414 0.3021
7 Te 0.8568 0.7414 0.6979
8 Te 0.6596 0.2580 0.3013
9 Rb 0.5000 0.7504 0.0000

Calculated total energy = -37.2 eV per cell



Record 6
VASP calculation (GGA-PBE) on a geometry-optimized CsCu3ReS4 structure.

Lattice parameters (Å, degrees): 6.0696 6.0696 6.0696 90.00 90.00 90.00
Fractional coordinates of all 9 atoms:
1 Cs 0.0000 0.0000 0.0000
2 Cu 0.0000 0.5000 0.5000
3 Cu 0.5000 0.0000 0.5000
4 Cu 0.5000 0.5000 0.0000
5 S 0.2874 0.2874 0.2874
6 S 0.2874 0.7126 0.7126
7 S 0.7126 0.2874 0.7126
8 S 0.7126 0.7126 0.2874
9 Re 0.5000 0.5000 0.5000

Calculated total energy = -41.9 eV per cell



Record 7
VASP calculation (GGA-PBE) on a geometry-optimized CsCuReSe2S structure.

Lattice parameters (Å, degrees): 8.2640 8.2640 9.6073 90.00 90.00 153.44
Fractional coordinates of all 12 atoms:
1 Se 0.8930 0.1070 0.4601
2 Se 0.8930 0.1070 0.0399
3 Se 0.1070 0.8930 0.5399
4 Se 0.1070 0.8930 0.9601
5 S 0.4470 0.5530 0.7500
6 S 0.5530 0.4470 0.2500
7 Cu 0.9723 0.0277 0.2500
8 Cu 0.0277 0.9723 0.7500
9 Re 0.5000 0.5000 0.0000
10 Re 0.5000 0.5000 0.5000
11 Cs 0.2458 0.7542 0.2500
12 Cs 0.7542 0.2458 0.7500

Calculated total energy = -60.0 eV per cell



Record 8
VASP calculation (GGA-PBE) on a geometry-optimized Cs2Cu2ReTe4 structure.

Lattice parameters (Å, degrees): 8.3001 8.3001 6.2111 90.00 90.00 136.10
Fractional coordinates of all 9 atoms:
1 Cu 0.5000 0.5000 0.0000
2 Cu 0.0000 0.0000 0.5000
3 Re 0.0000 0.0000 0.0000
4 Te 0.8471 0.6568 0.2481
5 Te 0.1529 0.3432 0.2481
6 Te 0.6568 0.8471 0.7519
7 Te 0.3432 0.1529 0.7519
8 Cs 0.5000 0.0000 0.2492
9 Cs 0.0000 0.5000 0.7508

Calculated total energy = -36.2 eV per cell